# GGA-PBE LiY3Rh, optimized geometry
# * energy of formation from the pure elements: -204 meV/atom
# * total moment: 0.00 μB per formula unit
# * E: -5.936 eV/atom
# * E above lowest polymorph: 0 meV per atom
# * V: 31.68 Å³/atom
data_LiY3Rh
_chemical_formula_sum 'Li1 Y3 Rh1'
_space_group_name_H-M_alt 'P m -3 m'
_space_group_IT_number 221
_space_group_name_Hall '-P 4 2 3'
_cell_length_a 5.411
_cell_length_b 5.411
_cell_length_c 5.411
_cell_angle_alpha 90.00
_cell_angle_beta 90.00
_cell_angle_gamma 90.00
loop_
_atom_site_label
_atom_site_type_symbol
_atom_site_fract_x
_atom_site_fract_y
_atom_site_fract_z
Li1 Li 0.000 0.000 0.000
Y1 Y 0.000 0.500 0.500
Rh1 Rh 0.500 0.500 0.500